No. 1
Density functional theory data (PBE) for an optimized crystal structure of CsYCd17.

Cell: 7.824 7.824 7.824 Å, 82.44 82.44 82.44°
Fractional coordinates of all 19 atoms:
Cd1 0.292 0.004 0.703
Cd2 0.004 0.703 0.292
Cd3 0.190 0.622 0.622
Cd4 0.703 0.292 0.004
Cd5 0.622 0.622 0.190
Cd6 0.622 0.190 0.622
Cd7 0.292 0.703 0.004
Cd8 0.703 0.004 0.292
Cd9 0.348 0.874 0.348
Cd10 0.874 0.348 0.348
Cd11 0.518 0.985 0.985
Cd12 0.004 0.292 0.703
Cd13 0.109 0.109 0.109
Cd14 0.985 0.518 0.985
Cd15 0.348 0.348 0.874
Cd16 0.911 0.911 0.911
Cd17 0.985 0.985 0.518
Cs1 0.662 0.662 0.662
Y1 0.328 0.328 0.328

* energy relative to the elements: -0.055 eV/atom



No. 2
Density functional theory data (PBE) for an optimized crystal structure of Pm2Ga4AgPt3.

Cell: 4.294 4.294 10.634 Å, 90.00 90.00 90.00°
Fractional coordinates of all 10 atoms:
Pt1 0.000 0.000 0.500
Pt2 0.000 0.500 0.131
Pt3 0.500 0.000 0.869
Ga1 0.000 0.000 0.000
Ga2 0.500 0.000 0.636
Ga3 0.000 0.500 0.364
Ga4 0.500 0.500 0.000
Pm1 0.500 0.000 0.240
Pm2 0.000 0.500 0.760
Ag1 0.500 0.500 0.500

* energy relative to the elements: -0.836 eV/atom



No. 3
Density functional theory data (PBE) for an optimized crystal structure of Si2SbH.

Cell: 4.572 4.572 4.572 Å, 60.00 60.00 60.00°
Fractional coordinates of all 4 atoms:
H1 0.000 0.000 0.000
Sb1 0.500 0.500 0.500
Si1 0.750 0.750 0.750
Si2 0.250 0.250 0.250

* polymorph energy (0 for the lowest one): 297 meV/atom



No. 4
Density functional theory data (PBE) for an optimized crystal structure of PmErIn6.

Cell: 4.660 4.660 9.314 Å, 90.00 90.00 90.00°
Fractional coordinates of all 8 atoms:
In1 0.500 0.500 0.000
In2 0.000 0.500 0.254
In3 0.000 0.500 0.746
In4 0.500 0.500 0.500
In5 0.500 0.000 0.746
In6 0.500 0.000 0.254
Er1 0.000 0.000 0.500
Pm1 0.000 0.000 0.000

* energy relative to the elements: -0.426 eV/atom



No. 5
Density functional theory data (PBE) for an optimized crystal structure of BaSr2Au2.

Cell: 4.609 8.414 10.588 Å, 92.51 77.42 74.17°
Fractional coordinates of all 10 atoms:
Ba1 0.677 0.974 0.673
Ba2 0.323 0.026 0.327
Sr1 0.173 0.712 0.943
Sr2 0.827 0.288 0.057
Sr3 0.045 0.576 0.334
Sr4 0.955 0.424 0.666
Au1 0.593 0.674 0.141
Au2 0.407 0.326 0.859
Au3 0.371 0.688 0.571
Au4 0.629 0.312 0.429

* polymorph energy (0 for the lowest one): 29 meV/atom
* energy relative to the elements: -0.598 eV/atom



No. 6
Density functional theory data (PBE) for an optimized crystal structure of Al2InBr.

Cell: 5.120 5.120 5.120 Å, 60.00 60.00 60.00°
Fractional coordinates of all 4 atoms:
In1 0.750 0.750 0.750
Al1 0.250 0.250 0.250
Al2 0.000 0.000 0.000
Br1 0.500 0.500 0.500

* formation energy (no corrections): 0.257 eV per atom
* polymorph energy (0 for the lowest one): 234 meV/atom



No. 7
Density functional theory data (PBE) for an optimized crystal structure of EuDyYTm.

Cell: 5.729 5.729 5.729 Å, 60.00 60.00 60.00°
Site moments in Bohr magnetons follow the coordinates.
Fractional coordinates of all 4 atoms:
Eu1 0.500 0.500 0.500  6.89
Tm1 0.000 0.000 0.000  0.25
Y1 0.750 0.750 0.750  0.19
Dy1 0.250 0.250 0.250  0.24

* energy relative to the elements: 0.163 eV/atom



No. 8
Density functional theory data (PBE) for an optimized crystal structure of RbTlPt2.

Cell: 5.046 5.046 5.046 Å, 60.00 60.00 60.00°
Fractional coordinates of all 4 atoms:
Rb1 0.000 0.000 0.000
Pt1 0.250 0.250 0.250
Pt2 0.750 0.750 0.750
Tl1 0.500 0.500 0.500

* polymorph energy (0 for the lowest one): 666 meV/atom
* energy relative to the elements: 0.486 eV/atom



No. 9
Density functional theory data (PBE) for an optimized crystal structure of LuZrZnCu.

Cell: 4.776 4.776 4.776 Å, 60.00 60.00 60.00°
Site moments in Bohr magnetons follow the coordinates.
Fractional coordinates of all 4 atoms:
Zr1 0.500 0.500 0.500  0.40
Cu1 0.250 0.250 0.250  0.06
Zn1 0.750 0.750 0.750  0.01
Lu1 0.000 0.000 0.000  0.19

* energy relative to the elements: -0.199 eV/atom



No. 10
Density functional theory data (PBE) for an optimized crystal structure of ClF.

Cell: 9.715 4.485 6.678 Å, 90.00 90.00 90.00°
Fractional coordinates of all 12 atoms:
Cl1 0.000 0.601 0.000
Cl2 0.661 0.843 0.000
Cl3 0.339 0.843 0.000
Cl4 0.161 0.157 0.500
Cl5 0.500 0.399 0.500
Cl6 0.839 0.157 0.500
F1 0.696 0.444 0.500
F2 0.000 0.906 0.500
F3 0.500 0.094 0.000
F4 0.196 0.556 0.000
F5 0.304 0.444 0.500
F6 0.804 0.556 0.000

* formation energy (no corrections): -0.255 eV per atom
* polymorph energy (0 for the lowest one): 155 meV/atom



No. 11
Density functional theory data (PBE) for an optimized crystal structure of Li2PuGeN4.

Cell: 3.439 5.075 5.320 Å, 102.43 90.00 90.00°
Site moments in Bohr magnetons follow the coordinates.
Fractional coordinates of all 8 atoms:
Pu1 0.500 0.500 0.000  2.45
N1 0.500 0.752 0.773  -0.09
N2 0.000 0.246 0.783  -0.10
N3 0.500 0.248 0.227  -0.09
N4 0.000 0.754 0.217  -0.10
Li1 0.000 0.500 0.500  0.00
Li2 0.500 0.000 0.500  -0.01
Ge1 0.000 0.000 0.000  0.00

* formation energy (no corrections): -0.392 eV per atom



No. 12
Density functional theory data (PBE) for an optimized crystal structure of Mo3C5.

Cell: 2.818 2.818 9.414 Å, 90.00 90.00 90.00°
Fractional coordinates of all 8 atoms:
Mo1 0.500 0.500 0.848
Mo2 0.000 0.000 0.500
Mo3 0.500 0.500 0.152
C1 0.000 0.000 0.000
C2 0.000 0.000 0.250
C3 0.500 0.500 0.611
C4 0.500 0.500 0.389
C5 0.000 0.000 0.750

* polymorph energy (0 for the lowest one): 384 meV/atom
* energy relative to the elements: 1.144 eV/atom



No. 13
Density functional theory data (PBE) for an optimized crystal structure of Cu2Pb2Cl.

Cell: 8.000 8.000 3.426 Å, 90.00 90.00 90.00°
Fractional coordinates of all 10 atoms:
Cl1 0.500 0.500 0.000
Cl2 0.000 0.000 0.000
Pb1 0.685 0.815 0.500
Pb2 0.815 0.315 0.500
Pb3 0.315 0.185 0.500
Pb4 0.185 0.685 0.500
Cu1 0.608 0.108 0.000
Cu2 0.892 0.608 0.000
Cu3 0.108 0.392 0.000
Cu4 0.392 0.892 0.000

* formation energy (no corrections): 0.058 eV per atom
* polymorph energy (0 for the lowest one): 63 meV/atom



No. 14
Density functional theory data (PBE) for an optimized crystal structure of PmPaHgAu.

Cell: 5.249 5.249 5.249 Å, 60.00 60.00 60.00°
Site moments in Bohr magnetons follow the coordinates.
Fractional coordinates of all 4 atoms:
Pa1 0.250 0.250 0.250  1.15
Pm1 0.750 0.750 0.750  0.26
Hg1 0.500 0.500 0.500  0.01
Au1 0.000 0.000 0.000  0.02

* energy relative to the elements: -0.197 eV/atom



No. 15
Density functional theory data (PBE) for an optimized crystal structure of KNa3Pa2Se6.

Cell: 4.216 8.856 9.487 Å, 101.89 102.84 90.00°
Site moments in Bohr magnetons follow the coordinates.
Fractional coordinates of all 12 atoms:
Pa1 0.165 0.335 0.330  0.96
Pa2 0.835 0.665 0.670  0.96
Se1 0.985 0.724 0.971  -0.02
Se2 0.673 0.568 0.346  -0.03
Se3 0.322 0.880 0.644  -0.02
Se4 0.015 0.276 0.029  -0.02
Se5 0.678 0.120 0.356  -0.02
Se6 0.327 0.432 0.654  -0.03
Na1 0.157 0.833 0.314  0.00
Na2 0.843 0.167 0.686  0.00
Na3 0.500 0.500 0.000  0.00
K1 0.500 0.000 0.000  0.00

* formation energy (no corrections): -1.303 eV per atom



No. 16
Density functional theory data (PBE) for an optimized crystal structure of KNa4Ge2.

Cell: 5.142 5.118 8.965 Å, 106.59 90.00 90.00°
Fractional coordinates of all 7 atoms:
Na1 0.500 0.831 0.663
Na2 0.000 0.333 0.666
Na3 0.500 0.169 0.337
Na4 0.000 0.667 0.334
Ge1 0.500 0.569 0.137
Ge2 0.500 0.431 0.863
K1 0.000 0.000 0.000

* energy relative to the elements: -0.038 eV/atom



No. 17
Density functional theory data (PBE) for an optimized crystal structure of Ti4Si.

Cell: 6.219 6.219 6.219 Å, 104.08 104.08 120.90°
Fractional coordinates of all 10 atoms:
Ti1 0.145 0.334 0.189
Ti2 0.605 0.916 0.311
Ti3 0.145 0.957 0.811
Ti4 0.043 0.855 0.189
Ti5 0.605 0.293 0.689
Ti6 0.707 0.395 0.311
Ti7 0.666 0.855 0.811
Ti8 0.084 0.395 0.689
Si1 0.500 0.500 0.000
Si2 0.250 0.750 0.500

* formation energy (no corrections): -0.104 eV per atom
* polymorph energy (0 for the lowest one): 193 meV/atom



No. 18
Density functional theory data (PBE) for an optimized crystal structure of Co3Te.

Cell: 3.732 3.732 5.205 Å, 90.00 90.00 120.00°
Site moments in Bohr magnetons follow the coordinates.
Fractional coordinates of all 4 atoms:
Co1 0.667 0.333 0.250  1.52
Co2 0.000 0.000 0.476  1.24
Co3 0.000 0.000 0.024  1.24
Te1 0.667 0.333 0.750  -0.03

* formation energy (no corrections): 0.371 eV per atom



No. 19
Density functional theory data (PBE) for an optimized crystal structure of Tm4GeTe2As.

Cell: 4.174 7.230 7.369 Å, 109.03 90.00 90.00°
Fractional coordinates of all 8 atoms:
Ge1 0.500 0.500 0.000
Tm1 0.500 0.757 0.782
Tm2 0.500 0.243 0.218
Tm3 0.000 0.736 0.218
Tm4 0.000 0.264 0.782
Te1 0.500 0.000 0.500
Te2 0.000 0.500 0.500
As1 0.000 0.000 0.000

* formation energy (no corrections): -1.303 eV per atom



No. 20
Density functional theory data (PBE) for an optimized crystal structure of Rb2NaGaAg.

Cell: 6.873 6.873 5.025 Å, 90.00 90.00 90.00°
Fractional coordinates of all 5 atoms:
Ag1 0.000 0.000 0.000
Rb1 0.000 0.500 0.000
Rb2 0.500 0.000 0.000
Ga1 0.000 0.000 0.500
Na1 0.500 0.500 0.500

* energy relative to the elements: 0.117 eV/atom



No. 21
Density functional theory data (PBE) for an optimized crystal structure of SrMgSi2.

Cell: 8.973 8.973 8.973 Å, 23.15 23.15 23.15°
Fractional coordinates of all 4 atoms:
Sr1 0.250 0.250 0.250
Si1 0.009 0.009 0.009
Si2 0.491 0.491 0.491
Mg1 0.750 0.750 0.750

* formation energy (no corrections): 0.253 eV per atom



No. 22
Density functional theory data (PBE) for an optimized crystal structure of CaPt2.

Cell: 5.925 5.925 5.925 Å, 127.75 127.75 77.03°
Fractional coordinates of all 6 atoms:
Pt1 0.681 0.181 0.861
Pt2 0.319 0.819 0.139
Pt3 0.181 0.319 0.500
Pt4 0.819 0.681 0.500
Ca1 0.750 0.750 0.000
Ca2 0.250 0.250 0.000

* energy relative to the elements: -0.808 eV/atom



No. 23
Density functional theory data (PBE) for an optimized crystal structure of MnZn3Cu4.

Cell: 4.196 4.196 7.266 Å, 73.22 73.22 60.00°
Site moments in Bohr magnetons follow the coordinates.
Fractional coordinates of all 8 atoms:
Zn1 0.747 0.747 0.758  -0.02
Zn2 0.253 0.253 0.242  -0.02
Zn3 0.500 0.500 0.500  0.01
Cu1 0.376 0.376 0.871  0.07
Cu2 0.624 0.624 0.129  0.07
Cu3 0.126 0.126 0.621  0.02
Cu4 0.874 0.874 0.379  0.02
Mn1 0.000 0.000 0.000  3.55

* energy relative to the elements: -0.020 eV/atom



no.,magnetic moment (μB/cell)
1,0.00
2,0.00
3,0.00
4,0.00
5,0.00
6,0.00
7,8.26
8,0.00
9,0.90
10,0.00
11,2.00
12,0.00
13,0.00
14,1.91
15,2.01
16,0.00
17,0.00
18,3.93
19,0.00
20,0.00
21,0.00
22,0.00
23,3.76